# 1
The following is a PBE calculation of crystalline ZrTl2Bi2 at its relaxed geometry, from Alexandria via LeMat-Bulk.

Computed properties:
Total magnetization: 0.00 μB per cell
Fermi-level density of states: 0.88 states/eV/atom

a = 4.3650 Å, b = 4.3650 Å, c = 16.4008 Å
α = 90.00°, β = 90.00°, γ = 90.00°
With the nearest neighbours (Å) after each atom.
Space group I4/mmm (No. 139)
Asymmetric unit:
Zr1 0.0000 0.0000 0.0000 (multiplicity 2)  8 Tl 3.41
Tl1 0.0000 0.0000 0.4112 (multiplicity 4)  1 Tl 2.91
Bi1 0.0000 0.5000 0.2500 (multiplicity 4)  4 Bi 3.09, 4 Tl 3.43

=====

# 2
The following is a PBE calculation of crystalline Zr8TlBi2 at its relaxed geometry, from Alexandria via LeMat-Bulk.

Computed properties:
Total magnetization: 0.00 μB per cell
Fermi-level density of states: 0.91 states/eV/atom

a = 7.8513 Å, b = 13.6592 Å, c = 5.5325 Å
α = 90.00°, β = 114.68°, γ = 90.00°
With the nearest neighbours (Å) after each atom.
Space group C2/m (No. 12)
Asymmetric unit:
Zr1 0.0000 0.2247 0.0000 (multiplicity 4)  2 Bi 2.97, 1 Tl 3.07, 2 Zr 3.25
Zr2 0.0877 0.5000 0.8006 (multiplicity 4)  1 Tl 2.95, 6 Zr 3.02-3.15, 2 Bi 3.07
Zr3 0.2029 0.1089 0.6540 (multiplicity 8)  5 Zr 2.92-3.25, 2 Bi 3.04-3.05
Tl1 0.0000 0.0000 0.0000 (multiplicity 2)  4 Zr 2.95-3.07
Bi1 0.0000 0.3046 0.5000 (multiplicity 4)  8 Zr 2.97-3.07

=====

| no. | energy of formation (eV per atom) |
| --- | --- |
| 1 | 0.50 |
| 2 | 0.00 |